Record 1
A plane-wave DFT calculation with PBE-GGA was carried out for a relaxed RbTlGe crystal.

The energy relative to the elements is 0.01 eV per atom. The density of states at the Fermi level comes out at 0.185 states/eV/atom.

The structure belongs to space group P4/nmm (No. 129, origin choice 2); the cell edges are 4.874, 4.874 and 8.686 Å and the angles 90.00°, 90.00° and 90.00°. Symmetry generates all atoms from Rb at (0.250, 0.250, 0.158), Tl at (0.250, 0.750, 0.500) and Ge at (0.250, 0.250, 0.702).

Record 2
A plane-wave DFT calculation with PBE-GGA was carried out for a relaxed Tl2AgGeI6 crystal.

The density of states at the Fermi level comes out at 0.306 states/eV/atom. The calculation puts the total energy at -2.52 eV/atom.

The structure belongs to space group P2_1/c (No. 14); the cell edges are 7.900, 8.365 and 13.851 Å and the angles 90.00°, 124.63° and 90.00°. Symmetry generates all atoms from Tl at (0.218, 0.091, 0.251), Ag at (0.000, 0.000, 0.500), Ge at (0.500, 0.000, 0.000), I at (0.155, 0.194, 0.957), I at (0.270, 0.702, 0.961) and I at (0.340, 0.006, 0.751).

Record 3
A plane-wave DFT calculation with PBE-GGA was carried out for a relaxed KLiNiBi2 crystal.

The energy relative to the elements is 0.28 eV per atom. The density of states at the Fermi level comes out at 0.685 states/eV/atom.

The structure belongs to space group P4/mmm (No. 123); the cell edges are 5.244, 5.244 and 4.697 Å and the angles 90.00°, 90.00° and 90.00°. Symmetry generates all atoms from K at (0.000, 0.000, 0.000), Li at (0.500, 0.500, 0.500), Ni at (0.500, 0.500, 0.000) and Bi at (0.000, 0.500, 0.500).

Record 4
A plane-wave DFT calculation with PBE-GGA was carried out for a relaxed CaAlSe crystal.

The energy above the lowest structure with this stoichiometry is 0.158 eV/atom. The density of states at the Fermi level comes out at 0.629 states/eV/atom.

The structure belongs to space group F-43m (No. 216); the cell edges are 6.979, 6.979 and 6.979 Å and the angles 90.00°, 90.00° and 90.00°. Symmetry generates all atoms from Ca at (0.000, 0.000, 0.000), Al at (0.000, 0.000, 0.500) and Se at (0.250, 0.250, 0.750).

Record 5
A plane-wave DFT calculation with PBE-GGA was carried out for a relaxed ZrNb2In2 crystal.

The energy relative to the elements is 0.15 eV per atom. The density of states at the Fermi level comes out at 0.731 states/eV/atom.

The structure belongs to space group P4/mbm (No. 127); the cell edges are 8.417, 8.417 and 3.011 Å and the angles 90.00°, 90.00° and 90.00°. Symmetry generates all atoms from Zr at (0.000, 0.000, 0.000), Nb at (0.113, 0.387, 0.000) and In at (0.183, 0.683, 0.500).

Record 6
A plane-wave DFT calculation with PBE-GGA was carried out for a relaxed SrAs2PdC crystal.

The energy relative to the elements is 2.36 eV per atom. The density of states at the Fermi level comes out at 1.331 states/eV/atom.

The structure belongs to space group P4/mmm (No. 123); the cell edges are 5.723, 5.723 and 5.296 Å and the angles 90.00°, 90.00° and 90.00°. Symmetry generates all atoms from Sr at (0.000, 0.000, 0.000), As at (0.000, 0.500, 0.000), Pd at (0.000, 0.000, 0.500) and C at (0.500, 0.500, 0.500).

Record 7
A plane-wave DFT calculation with PBE-GGA was carried out for a relaxed CuRe2Te crystal.

The density of states at the Fermi level comes out at 0.960 states/eV/atom. The calculation puts the total energy at -7.11 eV/atom.

The structure belongs to space group I4/mmm (No. 139); the cell edges are 3.865, 3.865 and 8.721 Å and the angles 90.00°, 90.00° and 90.00°. Symmetry generates all atoms from Cu at (0.000, 0.000, 0.000), Re at (0.000, 0.500, 0.250) and Te at (0.000, 0.000, 0.500).

Record 8
A plane-wave DFT calculation with PBE-GGA was carried out for a relaxed YTm2Tl3Te6 crystal.

The calculation puts the total energy at -4.49 eV/atom.

The structure belongs to space group C2/m (No. 12); the cell edges are 7.663, 13.276 and 8.575 Å and the angles 90.00°, 107.32° and 90.00°. Symmetry generates all atoms from Y at (0.000, 0.000, 0.000), Tm at (0.000, 0.333, 0.000), Tl at (0.000, 0.166, 0.500), Tl at (0.000, 0.500, 0.500), Te at (0.234, 0.500, 0.211) and Te at (0.239, 0.168, 0.212).

no.,total magnetization (μB/f.u.)
1,0.00
2,0.00
3,0.00
4,0.00
5,0.00
6,0.56
7,0.00
8,0.00